No. 1
Material: Dy2PuPd
Method: DFT, PBE
State: relaxed

abc: 3.5130 3.5130 8.3747
angles: 90.00 90.00 90.00
Last column: nearest neighbours and their distance in Å.
Space group P4/mmm (No. 123)
Unique sites:
1 Dy 0.0000 0.0000 0.2035  4 Pd 3.01
2 Pu 0.5000 0.5000 0.5000  8 Dy 3.51, 4 Pu 3.51
3 Pd 0.5000 0.5000 0.0000  8 Dy 3.01

Values from the calculation:
Calculated density in g/cm³: 10.85
Calculated total energy in eV/atom: -7.521
Calculated formation energy in eV per atom: -0.339
Energy relative to the lowest polymorph listed for this composition in meV per atom: 0

No. 2
Material: TbTmScCu
Method: DFT, PBE
State: relaxed

abc: 7.2582 7.2582 7.2582
angles: 90.00 90.00 90.00
Last column: nearest neighbours and their distance in Å.
Space group F-43m (No. 216)
Unique sites:
1 Tb 0.0000 0.0000 0.0000  4 Sc 3.14, 4 Cu 3.14
2 Tm 0.0000 0.0000 0.5000  4 Sc 3.14, 4 Cu 3.14
3 Sc 0.2500 0.2500 0.2500  4 Tb 3.14, 4 Tm 3.14
4 Cu 0.2500 0.2500 0.7500  4 Tb 3.14, 4 Tm 3.14

Values from the calculation:
Calculated density in g/cm³: 7.58
Calculated total energy in eV/atom: -4.762
Calculated formation energy in eV per atom: 0.120